{
  "formula": "HoPa2Co2",
  "functional": "GGA-PBE",
  "state": "optimized geometry",
  "cell": [[3.449, 0.000, 0.000], [0.016, 6.604, 0.000], [1.675, 0.051, 9.041]],
  "species": ["Ho", "Ho", "Pa", "Pa", "Pa", "Pa", "Co", "Co", "Co", "Co"],
  "frac_coords": [[0.092, 0.017, 0.322], [0.908, 0.983, 0.678], [0.097, 0.511, 0.312], [0.271, 0.222, 0.957], [0.729, 0.778, 0.043], [0.903, 0.489, 0.688], [0.325, 0.694, 0.848], [0.473, 0.304, 0.543], [0.527, 0.696, 0.457], [0.675, 0.306, 0.152]],
  "total_energy_ev_per_cell": -77.74,
  "delta_e_f_ev_per_atom": -0.2176,
  "spacegroup": "P-1 (2)"
}